DFT (GGA-PBE) results for an optimized crystal structure of K2RbNa12Hg3.

a b c (Å): 12.1055 12.1055 16.5037
angles (deg): 90.00 90.00 120.00
Space group R-3m (No. 166, hexagonal axes)
Symmetry-distinct sites (fractional):
K (0.0000, 0.0000, 0.1152) [6 per cell]
Rb (0.0000, 0.0000, 0.5000) [3 per cell]
Na (0.0094, 0.5047, 0.8097) [18 per cell]
Na (0.0582, 0.5291, 0.3902) [18 per cell]
Hg (0.0000, 0.5000, 0.0000) [9 per cell]

## Properties
Volume, Å³ per cell: 2094.48
Density, Mg/m³: 2.477
DFT formation energy, eV per atom: -0.01
Crystal system: trigonal